1.
The following is a DFT calculation (PBE) of a relaxed structure of HoMgO2.

Geometry as CIF:
```
data_HoMgO2
_cell_length_a 3.1504
_cell_length_b 3.1504
_cell_length_c 16.5593
_cell_angle_alpha 90.00
_cell_angle_beta 90.00
_cell_angle_gamma 120.00
_space_group_name_H-M_alt 'R -3 m'
_space_group_IT_number 166
_space_group_name_Hall '-R 3 2"'
loop_
_atom_site_label
_atom_site_type_symbol
_atom_site_fract_x
_atom_site_fract_y
_atom_site_fract_z
Ho1 Ho 0.0000 0.0000 0.0000
Mg1 Mg 0.0000 0.0000 0.5000
O1 O 0.0000 0.0000 0.2380
```

Output
Formation energy without anion corrections in meV per atom: -2605
Energy in eV per cell: -79.53

=====

2.
The following is a DFT calculation (PBE) of a relaxed structure of CaPmCd2Hg4.

Geometry as CIF:
```
data_CaPmCd2Hg4
_cell_length_a 5.1204
_cell_length_b 5.1204
_cell_length_c 25.7714
_cell_angle_alpha 90.00
_cell_angle_beta 90.00
_cell_angle_gamma 120.00
_space_group_name_H-M_alt 'R -3 m'
_space_group_IT_number 166
_space_group_name_Hall '-R 3 2"'
loop_
_atom_site_label
_atom_site_type_symbol
_atom_site_fract_x
_atom_site_fract_y
_atom_site_fract_z
Ca1 Ca 0.0000 0.0000 0.0000
Pm1 Pm 0.0000 0.0000 0.5000
Cd1 Cd 0.0000 0.0000 0.2497
Hg1 Hg 0.0000 0.0000 0.1227
Hg2 Hg 0.0000 0.0000 0.3752
```

Output
Energy of formation in eV per atom: -0.3867
Energy in eV per cell: -38.65

=====

3.
The following is a DFT calculation (PBE) of a relaxed structure of Sr3CaPb4.

Geometry as CIF:
```
data_Sr3CaPb4
_cell_length_a 3.893
_cell_length_b 3.893
_cell_length_c 17.827
_cell_angle_alpha 90.00
_cell_angle_beta 90.00
_cell_angle_gamma 90.00
_space_group_name_H-M_alt 'P 4/m m m'
_space_group_IT_number 123
_space_group_name_Hall '-P 4 2'
loop_
_atom_site_label
_atom_site_type_symbol
_atom_site_fract_x
_atom_site_fract_y
_atom_site_fract_z
Sr1 Sr 0.000 0.000 0.000
Sr2 Sr 0.000 0.000 0.255
Ca1 Ca 0.000 0.000 0.500
Pb1 Pb 0.500 0.500 0.128
Pb2 Pb 0.500 0.500 0.384
```

Output
Energy of formation in eV per atom: -0.5155
Energy in eV per cell: -26.00

=====

4.
The following is a DFT calculation (PBE) of a relaxed structure of BeBO3.

Geometry as CIF:
```
data_BeBO3
_cell_length_a 3.268
_cell_length_b 3.268
_cell_length_c 3.268
_cell_angle_alpha 90.00
_cell_angle_beta 90.00
_cell_angle_gamma 90.00
_space_group_name_H-M_alt 'P m -3 m'
_space_group_IT_number 221
_space_group_name_Hall '-P 4 2 3'
loop_
_atom_site_label
_atom_site_type_symbol
_atom_site_fract_x
_atom_site_fract_y
_atom_site_fract_z
Be1 Be 0.000 0.000 0.000
B1 B 0.500 0.500 0.500
O1 O 0.000 0.500 0.500
```

Output
Formation energy without anion corrections in meV per atom: -582
Energy in eV per cell: -28.19

=====

5.
The following is a DFT calculation (PBE) of a relaxed structure of Pu2TiSi4Pt3.

Geometry as CIF:
```
data_Pu2TiSi4Pt3
_cell_length_a 4.154
_cell_length_b 4.154
_cell_length_c 10.327
_cell_angle_alpha 90.00
_cell_angle_beta 90.00
_cell_angle_gamma 90.00
_space_group_name_H-M_alt 'P -4 m 2'
_space_group_IT_number 115
loop_
_space_group_symop_operation_xyz
'x,y,z'
'y,-x,-z'
'-x,-y,z'
'-y,x,-z'
'-x,y,z'
'-y,-x,-z'
'x,-y,z'
'y,x,-z'
loop_
_atom_site_label
_atom_site_type_symbol
_atom_site_fract_x
_atom_site_fract_y
_atom_site_fract_z
Pu1 Pu 0.000 0.500 0.247
Ti1 Ti 0.000 0.000 0.500
Si1 Si 0.000 0.000 0.000
Si2 Si 0.000 0.500 0.644
Si3 Si 0.500 0.500 0.000
Pt1 Pt 0.000 0.500 0.879
Pt2 Pt 0.500 0.500 0.500
```

Output
Formation energy without anion corrections in meV per atom: -853
Energy in eV per cell: -84.91

=====

6.
The following is a DFT calculation (PBE) of a relaxed structure of EuDyZnBi.

Geometry as CIF:
```
data_EuDyZnBi
_cell_length_a 7.637
_cell_length_b 7.637
_cell_length_c 7.637
_cell_angle_alpha 90.00
_cell_angle_beta 90.00
_cell_angle_gamma 90.00
_space_group_name_H-M_alt 'F -4 3 m'
_space_group_IT_number 216
_space_group_name_Hall 'F -4 2 3'
loop_
_atom_site_label
_atom_site_type_symbol
_atom_site_fract_x
_atom_site_fract_y
_atom_site_fract_z
Eu1 Eu 0.000 0.000 0.000
Dy1 Dy 0.000 0.000 0.500
Zn1 Zn 0.250 0.250 0.750
Bi1 Bi 0.250 0.250 0.250
```

Output
Energy of formation in eV per atom: -0.4231
Energy in eV per cell: -86.90

=====

7.
The following is a DFT calculation (PBE) of a relaxed structure of BaAc2H.

Geometry as CIF:
```
data_BaAc2H
_cell_length_a 4.0075
_cell_length_b 4.0075
_cell_length_c 32.5326
_cell_angle_alpha 90.00
_cell_angle_beta 90.00
_cell_angle_gamma 120.00
_space_group_name_H-M_alt 'R -3 m'
_space_group_IT_number 166
_space_group_name_Hall '-R 3 2"'
loop_
_atom_site_label
_atom_site_type_symbol
_atom_site_fract_x
_atom_site_fract_y
_atom_site_fract_z
Ba1 Ba 0.0000 0.0000 0.0000
Ac1 Ac 0.0000 0.0000 0.1202
H1 H 0.0000 0.0000 0.5000
```

Output
Energy in eV per cell: -40.49

=====

8.
The following is a DFT calculation (PBE) of a relaxed structure of LaPbAu.

Geometry as CIF:
```
data_LaPbAu
_cell_length_a 4.9214
_cell_length_b 4.9214
_cell_length_c 3.9329
_cell_angle_alpha 90.00
_cell_angle_beta 90.00
_cell_angle_gamma 120.00
_space_group_name_H-M_alt 'P 3 m 1'
_space_group_IT_number 156
loop_
_space_group_symop_operation_xyz
'x,y,z'
'-y,x-y,z'
'-x+y,-x,z'
'-y,-x,z'
'-x+y,y,z'
'x,x-y,z'
loop_
_atom_site_label
_atom_site_type_symbol
_atom_site_fract_x
_atom_site_fract_y
_atom_site_fract_z
La1 La 0.0000 0.0000 0.0000
Pb1 Pb 0.3333 0.6667 0.4634
Au1 Au 0.6667 0.3333 0.5444
```

Output
Energy of formation in eV per atom: -0.6316
Energy in eV per cell: -13.81

=====

9.
The following is a DFT calculation (PBE) of a relaxed structure of DyCdInCl6.

Geometry as CIF:
```
data_DyCdInCl6
_cell_length_a 6.9468
_cell_length_b 6.9468
_cell_length_c 13.9121
_cell_angle_alpha 90.00
_cell_angle_beta 90.00
_cell_angle_gamma 120.00
_space_group_name_H-M_alt 'P -3 1 c'
_space_group_IT_number 163
_space_group_name_Hall '-P 3 2c'
loop_
_atom_site_label
_atom_site_type_symbol
_atom_site_fract_x
_atom_site_fract_y
_atom_site_fract_z
Dy1 Dy 0.3333 0.6667 0.2500
Cd1 Cd 0.3333 0.6667 0.7500
In1 In 0.0000 0.0000 0.0000
Cl1 Cl 0.0015 0.3725 0.1410
```

Output
Formation energy without anion corrections in meV per atom: -1572
Energy in eV per cell: -66.97

=====

10.
The following is a DFT calculation (PBE) of a relaxed structure of BaTeIr2.

Geometry as CIF:
```
data_BaTeIr2
_cell_length_a 3.110
_cell_length_b 4.007
_cell_length_c 7.688
_cell_angle_alpha 90.00
_cell_angle_beta 90.00
_cell_angle_gamma 90.00
_space_group_name_H-M_alt 'P m m 2'
_space_group_IT_number 25
loop_
_space_group_symop_operation_xyz
'x,y,z'
'-x,-y,z'
'-x,y,z'
'x,-y,z'
loop_
_atom_site_label
_atom_site_type_symbol
_atom_site_fract_x
_atom_site_fract_y
_atom_site_fract_z
Ba1 Ba 0.000 0.000 0.000
Te1 Te 0.500 0.500 0.656
Ir1 Ir 0.000 0.000 0.403
Ir2 Ir 0.500 0.500 0.296
```

Output
Formation energy without anion corrections in meV per atom: 176
Energy in eV per cell: -22.08

=====

11.
The following is a DFT calculation (PBE) of a relaxed structure of FeRh2Se.

Geometry as CIF:
```
data_FeRh2Se
_cell_length_a 2.987
_cell_length_b 4.292
_cell_length_c 4.577
_cell_angle_alpha 90.00
_cell_angle_beta 90.00
_cell_angle_gamma 90.00
_space_group_name_H-M_alt 'P m m m'
_space_group_IT_number 47
loop_
_space_group_symop_operation_xyz
'x,y,z'
'-x,-y,-z'
'-x,-y,z'
'x,y,-z'
'x,-y,-z'
'-x,y,z'
'-x,y,-z'
'x,-y,z'
loop_
_atom_site_label
_atom_site_type_symbol
_atom_site_fract_x
_atom_site_fract_y
_atom_site_fract_z
Fe1 Fe 0.000 0.000 0.000
Rh1 Rh 0.000 0.500 0.500
Rh2 Rh 0.500 0.500 0.000
Se1 Se 0.500 0.000 0.500
```

Output
Formation energy without anion corrections in meV per atom: 176
Energy in eV per cell: -25.95

=====

12.
The following is a DFT calculation (PBE) of a relaxed structure of CaZrZn2.

Geometry as CIF:
```
data_CaZrZn2
_cell_length_a 3.286
_cell_length_b 4.431
_cell_length_c 6.076
_cell_angle_alpha 90.00
_cell_angle_beta 90.00
_cell_angle_gamma 90.00
_space_group_name_H-M_alt 'P m m 2'
_space_group_IT_number 25
loop_
_space_group_symop_operation_xyz
'x,y,z'
'-x,-y,z'
'-x,y,z'
'x,-y,z'
loop_
_atom_site_label
_atom_site_type_symbol
_atom_site_fract_x
_atom_site_fract_y
_atom_site_fract_z
Ca1 Ca 0.000 0.000 0.000
Zr1 Zr 0.500 0.500 0.652
Zn1 Zn 0.000 0.000 0.494
Zn2 Zn 0.500 0.500 0.199
```

Output
Energy of formation in eV per atom: 0.0537
Energy in eV per cell: -12.88

=====

13.
The following is a DFT calculation (PBE) of a relaxed structure of Ba2Ac15Pr2.

Geometry as CIF:
```
data_Ba2Ac15Pr2
_cell_length_a 12.8585
_cell_length_b 12.8585
_cell_length_c 19.2178
_cell_angle_alpha 90.00
_cell_angle_beta 90.00
_cell_angle_gamma 120.00
_space_group_name_H-M_alt 'R -3 m'
_space_group_IT_number 166
_space_group_name_Hall '-R 3 2"'
loop_
_atom_site_label
_atom_site_type_symbol
_atom_site_fract_x
_atom_site_fract_y
_atom_site_fract_z
Ba1 Ba 0.0000 0.0000 0.1644
Ac1 Ac 0.0000 0.2932 0.5000
Ac2 Ac 0.0000 0.5000 0.0000
Ac3 Ac 0.0008 0.5004 0.6466
Pr1 Pr 0.0000 0.0000 0.4099
```

Output
Energy of formation in eV per atom: 0.2163
Energy in eV per cell: -212.76